Record 1
First-principles (GGA-PBE) data for a relaxed structure of ErSi2Os, as listed in Alexandria via LeMat-Bulk.

```
ErSi2Os
1.0
3.080 0.000 0.000
-1.540 2.668 0.000
0.000 0.000 25.374
Er Si Os
3 6 3
Direct
0.000 0.000 0.000 Er
0.333 0.667 0.667 Er
0.667 0.333 0.333 Er
0.000 0.000 0.236 Si
0.000 0.000 0.764 Si
0.333 0.667 0.431 Si
0.333 0.667 0.903 Si
0.667 0.333 0.097 Si
0.667 0.333 0.569 Si
0.000 0.000 0.500 Os
0.333 0.667 0.167 Os
0.667 0.333 0.833 Os
```

Output
symmetry: No. 166
formation energy without anion corrections: -0.018 eV/atom



Record 2
First-principles (GGA-PBE) data for a relaxed structure of Hf4CoGe2, as listed in Alexandria via LeMat-Bulk.

```
Hf4CoGe2
1.0
4.174 -5.584 0.000
4.174 5.584 0.000
-3.948 0.000 5.649
Hf Co Ge
8 2 4
Direct
0.000 0.000 0.000 Hf
0.000 0.000 0.500 Hf
0.134 0.611 0.747 Hf
0.350 0.469 0.137 Hf
0.469 0.350 0.637 Hf
0.488 0.868 0.650 Hf
0.611 0.134 0.247 Hf
0.868 0.488 0.150 Hf
0.115 0.353 0.373 Co
0.353 0.115 0.873 Co
0.242 0.846 0.242 Ge
0.628 0.744 0.024 Ge
0.744 0.628 0.524 Ge
0.846 0.242 0.742 Ge
```

Output
formation enthalpy at 0 K: -0.43 eV per atom
symmetry: No. 9



Record 3
First-principles (GGA-PBE) data for a relaxed structure of SrAgSb2, as listed in Alexandria via LeMat-Bulk.

```
SrAgSb2
1.0
4.882 0.000 0.000
0.000 4.882 0.000
0.000 0.000 4.563
Sr Ag Sb
1 1 2
Direct
0.000 0.000 0.000 Sr
0.500 0.500 0.000 Ag
0.000 0.500 0.500 Sb
0.500 0.000 0.500 Sb
```

Output
symmetry: No. 123
formation energy without anion corrections: -0.370 eV/atom



Record 4
First-principles (GGA-PBE) data for a relaxed structure of Hg2PtN, as listed in Alexandria via LeMat-Bulk.

```
Hg2PtN
1.0
7.052 0.000 0.000
0.000 7.052 0.000
0.000 0.000 5.539
Hg Pt N
8 4 4
Direct
0.196 0.250 0.125 Hg
0.250 0.696 0.375 Hg
0.250 0.804 0.875 Hg
0.304 0.250 0.625 Hg
0.696 0.750 0.625 Hg
0.750 0.196 0.875 Hg
0.750 0.304 0.375 Hg
0.804 0.750 0.125 Hg
0.000 0.000 0.500 Pt
0.000 0.500 0.750 Pt
0.500 0.000 0.250 Pt
0.500 0.500 0.000 Pt
0.000 0.000 0.000 N
0.000 0.500 0.250 N
0.500 0.000 0.750 N
0.500 0.500 0.500 N
```

Output
symmetry: No. 122
formation energy without anion corrections: 1.030 eV/atom



| no. | V (Å³ per cell) |
| --- | --- |
| 1 | 208.5 |
| 2 | 263.3 |
| 3 | 108.8 |
| 4 | 275.4 |